[1]
First-principles (PBE) data for BeNbFeSi after structural relaxation, as listed in OQMD.

## Properties
ρ in kg/m3: 6212
Volume in Å³/cell: 198.7
E above lowest polymorph in meV/atom: 112

```
data_BeNbFeSi
_cell_length_a 5.836
_cell_length_b 5.836
_cell_length_c 5.836
_cell_angle_alpha 90.00
_cell_angle_beta 90.00
_cell_angle_gamma 90.00
_symmetry_space_group_name_H-M 'F -4 3 m'
_symmetry_Int_Tables_number 216
_symmetry_space_group_name_Hall 'F -4 2 3'
loop_
_atom_site_label
_atom_site_fract_x
_atom_site_fract_y
_atom_site_fract_z
Be1 0.000 0.000 0.000
Nb1 0.250 0.250 0.250
Fe1 0.250 0.250 0.750
Si1 0.000 0.000 0.500
```

=====

[2]
First-principles (PBE) data for Sr2LuIr after structural relaxation, as listed in OQMD.

## Properties
E_tot in eV/atom: -4.027
ρ in kg/m3: 8474
Volume in Å³/cell: 425.2

```
data_Sr2LuIr
_cell_length_a 7.520
_cell_length_b 7.520
_cell_length_c 7.520
_cell_angle_alpha 90.00
_cell_angle_beta 90.00
_cell_angle_gamma 90.00
_symmetry_space_group_name_H-M 'F -4 3 m'
_symmetry_Int_Tables_number 216
_symmetry_space_group_name_Hall 'F -4 2 3'
loop_
_atom_site_label
_atom_site_fract_x
_atom_site_fract_y
_atom_site_fract_z
Sr1 0.000 0.000 0.000
Sr2 0.250 0.250 0.250
Lu1 0.250 0.250 0.750
Ir1 0.000 0.000 0.500
```

=====

[3]
First-principles (PBE) data for Er4TmLu2Ni2Te2 after structural relaxation, as listed in OQMD.

## Properties
ρ in kg/m3: 9295
Volume in Å³/cell: 557.6
E above lowest polymorph in meV/atom: 8

```
data_Er4TmLu2Ni2Te2
_cell_length_a 3.825
_cell_length_b 15.388
_cell_length_c 9.472
_cell_angle_alpha 90.00
_cell_angle_beta 90.00
_cell_angle_gamma 90.00
_symmetry_space_group_name_H-M 'I m m 2'
_symmetry_Int_Tables_number 44
_symmetry_space_group_name_Hall 'I 2 -2'
loop_
_atom_site_label
_atom_site_fract_x
_atom_site_fract_y
_atom_site_fract_z
Er1 0.000 0.146 0.000
Er2 0.000 0.185 0.647
Tm1 0.000 0.500 0.271
Lu1 0.000 0.365 0.853
Ni1 0.000 0.263 0.340
Te1 0.000 0.000 0.503
Te2 0.000 0.500 0.610
```

=====

[4]
First-principles (PBE) data for UBe2As after structural relaxation, as listed in OQMD.

## Properties
E_tot in eV/atom: -5.904
ρ in kg/m3: 9442
Volume in Å³/cell: 116.4

```
data_UBe2As
_cell_length_a 3.791
_cell_length_b 5.419
_cell_length_c 5.877
_cell_angle_alpha 74.62
_cell_angle_beta 89.99
_cell_angle_gamma 89.94
_symmetry_space_group_name_H-M 'P -1'
_symmetry_Int_Tables_number 2
_symmetry_space_group_name_Hall '-P 1'
loop_
_atom_site_label
_atom_site_fract_x
_atom_site_fract_y
_atom_site_fract_z
U1 0.249 0.117 0.078
Be1 0.249 0.689 0.606
Be2 0.250 0.087 0.567
As1 0.251 0.561 0.260
```

=====

[5]
First-principles (PBE) data for SmGa2IrPt after structural relaxation, as listed in OQMD.

## Properties
E_tot in eV/atom: -6.002
ρ in kg/m3: 11936
Volume in Å³/cell: 188.4

```
data_SmGa2IrPt
_cell_length_a 4.304
_cell_length_b 4.304
_cell_length_c 10.169
_cell_angle_alpha 90.00
_cell_angle_beta 90.00
_cell_angle_gamma 90.00
_symmetry_space_group_name_H-M 'P 4/n m m'
_symmetry_Int_Tables_number 129
loop_
_symmetry_equiv_pos_as_xyz
'x,y,z'
'-x,-y,-z'
'-y+1/2,x,z'
'y+1/2,-x,-z'
'-x+1/2,-y+1/2,z'
'x+1/2,y+1/2,-z'
'y,-x+1/2,z'
'-y,x+1/2,-z'
'x+1/2,-y,-z'
'-x+1/2,y,z'
'-y,-x,-z'
'y,x,z'
'-x,y+1/2,-z'
'x,-y+1/2,z'
'y+1/2,x+1/2,-z'
'-y+1/2,-x+1/2,z'
loop_
_atom_site_label
_atom_site_fract_x
_atom_site_fract_y
_atom_site_fract_z
Sm1 0.250 0.250 0.237
Ga1 0.250 0.250 0.875
Ga2 0.250 0.750 0.500
Ir1 0.250 0.750 0.000
Pt1 0.250 0.250 0.632
```

=====

[6]
First-principles (PBE) data for K2OsN2 after structural relaxation, as listed in OQMD.

## Properties
E_tot in eV/atom: -5.133
ρ in kg/m3: 5719
Volume in Å³/cell: 172.1

```
data_K2OsN2
_cell_length_a 3.4148
_cell_length_b 3.4148
_cell_length_c 17.0454
_cell_angle_alpha 90.00
_cell_angle_beta 90.00
_cell_angle_gamma 120.00
_symmetry_space_group_name_H-M 'P 63/m m c'
_symmetry_Int_Tables_number 194
_symmetry_space_group_name_Hall '-P 6c 2c'
loop_
_atom_site_label
_atom_site_fract_x
_atom_site_fract_y
_atom_site_fract_z
K1 0.3333 0.6667 0.0975
Os1 0.0000 0.0000 0.2500
N1 0.0000 0.0000 0.0000
N2 0.3333 0.6667 0.7500
```

=====

Q: The highest ρ belongs to which entry?
A: SmGa2IrPt

=====

Q: volume of number 1 (BeNbFeSi)?
A: 198.7 Å³/cell

=====

Q: What is the formula in the fifth record?
A: SmGa2IrPt